No. 1
{"formula": "Li2TbSe2", "functional": "PBE", "state": "optimized geometry", "dos_ef_per_ev_cell": 2.05, "m_tot_mub_per_cell": 0.0, "raw_formation_energy_ev_per_atom": -1.332, "lattice": [[-1.254, -0.787, 3.780], [1.299, -3.334, 1.917], [6.089, 2.631, 4.747]], "species": ["Li", "Li", "Tb", "Se", "Se"], "frac_coords": [[0.223, 0.223, 0.332], [0.777, 0.777, 0.668], [0.000, 0.000, 0.000], [0.591, 0.591, 0.228], [0.409, 0.409, 0.772]]}



No. 2
{"formula": "Li2TbTeSe4", "functional": "PBE", "state": "optimized geometry", "dos_ef_per_ev_cell": 2.78, "m_tot_mub_per_cell": 0.0, "raw_formation_energy_ev_per_atom": -1.003, "lattice": [[-1.352, -7.781, -1.333], [7.823, -1.241, -1.183], [-2.324, 3.098, 7.119]], "species": ["Li", "Li", "Li", "Li", "Tb", "Tb", "Te", "Te", "Se", "Se", "Se", "Se", "Se", "Se", "Se", "Se"], "frac_coords": [[0.500, 0.000, 0.000], [0.500, 0.000, 0.500], [0.000, 0.000, 0.500], [0.500, 0.500, 0.000], [0.000, 0.500, 0.000], [0.000, 0.500, 0.500], [0.500, 0.500, 0.500], [0.000, 0.000, 0.000], [0.242, 0.743, 0.979], [0.757, 0.258, 0.521], [0.243, 0.742, 0.479], [0.758, 0.257, 0.021], [0.774, 0.783, 0.043], [0.717, 0.726, 0.457], [0.283, 0.274, 0.543], [0.226, 0.217, 0.957]]}



No. 3
{"formula": "LiTb3Th4Se8", "functional": "PBE", "state": "optimized geometry", "dos_ef_per_ev_cell": 9.46, "m_tot_mub_per_cell": 0.0, "raw_formation_energy_ev_per_atom": -1.625, "lattice": [[8.028, 0.000, 0.000], [0.000, 8.508, 0.332], [-4.014, -4.009, 5.680]], "species": ["Li", "Tb", "Tb", "Tb", "Th", "Th", "Th", "Th", "Se", "Se", "Se", "Se", "Se", "Se", "Se", "Se"], "frac_coords": [[0.000, 0.500, 0.000], [0.500, 0.500, 0.000], [0.500, 0.500, 0.500], [0.000, 0.500, 0.500], [0.500, 0.000, 0.000], [0.500, 0.000, 0.500], [0.000, 0.000, 0.000], [0.000, 0.000, 0.500], [0.238, 0.729, 0.991], [0.238, 0.729, 0.477], [0.255, 0.264, 0.509], [0.753, 0.729, 0.991], [0.247, 0.271, 0.009], [0.745, 0.736, 0.491], [0.762, 0.271, 0.523], [0.762, 0.271, 0.009]]}



No. 4
{"formula": "Li3Tb2ThSe6", "functional": "PBE", "state": "optimized geometry", "dos_ef_per_ev_cell": 3.81, "m_tot_mub_per_cell": 0.0, "raw_formation_energy_ev_per_atom": -1.619, "lattice": [[-4.535, 5.162, -1.713], [-0.681, -3.410, 6.169], [5.658, 3.808, 1.376]], "species": ["Li", "Li", "Li", "Tb", "Tb", "Th", "Se", "Se", "Se", "Se", "Se", "Se"], "frac_coords": [[0.168, 0.832, 0.500], [0.832, 0.168, 0.500], [0.500, 0.500, 0.500], [0.334, 0.666, 0.000], [0.666, 0.334, 0.000], [0.000, 0.000, 0.000], [0.914, 0.577, 0.740], [0.750, 0.750, 0.261], [0.086, 0.423, 0.260], [0.577, 0.914, 0.740], [0.250, 0.250, 0.739], [0.423, 0.086, 0.260]]}



No. 5
{"formula": "LiTbTh2Se4", "functional": "PBE", "state": "optimized geometry", "dos_ef_per_ev_cell": 3.89, "m_tot_mub_per_cell": 0.0, "raw_formation_energy_ev_per_atom": -1.585, "lattice": [[3.983, 0.000, 0.000], [0.000, 6.884, 0.133], [0.000, -2.402, 7.128]], "species": ["Li", "Tb", "Th", "Th", "Se", "Se", "Se", "Se"], "frac_coords": [[0.500, 0.500, 0.000], [0.000, 0.000, 0.000], [0.500, 0.000, 0.500], [0.000, 0.500, 0.500], [0.500, 0.254, 0.229], [0.500, 0.746, 0.771], [0.000, 0.265, 0.773], [0.000, 0.735, 0.227]]}



No. 6
{"formula": "Li2TbThSe4", "functional": "PBE", "state": "optimized geometry", "dos_ef_per_ev_cell": 3.40, "m_tot_mub_per_cell": 0.0, "raw_formation_energy_ev_per_atom": -1.578, "lattice": [[4.079, 0.000, 0.000], [0.000, 6.987, -0.116], [0.000, 2.487, 6.640]], "species": ["Li", "Li", "Tb", "Th", "Se", "Se", "Se", "Se"], "frac_coords": [[0.000, 0.000, 0.000], [0.500, 0.000, 0.500], [0.500, 0.500, 0.000], [0.000, 0.500, 0.500], [0.000, 0.759, 0.750], [0.000, 0.241, 0.250], [0.500, 0.766, 0.239], [0.500, 0.234, 0.761]]}